# PBE GaRu2ClF, optimized geometry
data_GaRu2ClF
_chemical_formula_sum 'Ga1 Ru2 Cl1 F1'
_symmetry_space_group_name_H-M 'P 4/m m m'
_symmetry_Int_Tables_number 123
_symmetry_space_group_name_Hall '-P 4 2'
_cell_length_a 4.315
_cell_length_b 4.315
_cell_length_c 4.994
_cell_angle_alpha 90.00
_cell_angle_beta 90.00
_cell_angle_gamma 90.00
loop_
_atom_site_label
_atom_site_fract_x
_atom_site_fract_y
_atom_site_fract_z
Ga1 0.000 0.000 0.000
Ru1 0.000 0.500 0.500
Cl1 0.500 0.500 0.000
F1 0.000 0.000 0.500
# Density (g/cm³): 5.83
# Formation energy without anion corrections (eV/atom): 0.74
# Total moment (μB/f.u.): 4.55
# Total DFT energy (no corrections) (eV per atom): -4.316